CaMgAu | GGA-PBE | relaxed

Cell and atoms, written as extended XYZ:
```
6
Lattice="-0.031 2.463 -3.534 3.496 -2.050 -1.460 -6.339 -5.466 -1.117" Properties=species:S:1:pos:R:3 pbc="T T T"
Mg -0.015 1.231 -1.767
Ca -2.971 -3.393 -2.331
Au -1.760 -3.781 -5.236
Ca 0.098 -1.661 -3.780
Mg 1.748 -1.025 -0.730
Au -1.114 -1.273 -0.875
```

Output
D(E_F)	2.4	states/eV/cell
formation energy	-0.6247	eV/atom
magnetic moment	0.0	μB/f.u.